TlV3O8 | PBE+U | relaxed

a = 5.5127 Å, b = 5.5127 Å, c = 7.7535 Å
α = 90.00°, β = 90.00°, γ = 120.00°
Last column: nearest neighbours and their distance in Å.
Sites, in units of the cell vectors:
Tl 0.0000 0.0000 0.0000  12 O 3.16-3.23
V 0.0000 0.0000 0.5000  6 O 1.88
V 0.6667 0.3333 0.2866  4 O 1.65-1.77
V 0.3333 0.6667 0.7134  4 O 1.65-1.77
O 0.3333 0.6667 0.9267  1 V 1.65
O 0.3163 0.1953 0.3575  2 V 1.77-1.88
O 0.8047 0.1210 0.3575  2 V 1.77-1.88
O 0.6667 0.3333 0.0733  1 V 1.65
O 0.1953 0.8790 0.6425  2 V 1.77-1.88
O 0.6837 0.8047 0.6425  2 V 1.77-1.88
O 0.1210 0.3163 0.6425  2 V 1.77-1.88
O 0.8790 0.6837 0.3575  2 V 1.77-1.88

Symmetry = P-3, No. 147
E above lowest polymorph = 32 meV/atom
Total magnetic moment = 0.0 μB per formula unit
Calculated volume = 204.1 Å³/cell
Electronic total energy = -7.0630 eV per atom